No. 1
The following is a PBE calculation of a relaxed structure of Be4GeMo, from Alexandria.

abc: 4.447 4.447 4.447
angles: 60.00 60.00 60.00
Element x y z (fractional)
1 Be 0.122 0.122 0.122
2 Be 0.122 0.122 0.635
3 Be 0.122 0.635 0.122
4 Be 0.635 0.122 0.122
5 Ge 0.500 0.500 0.500
6 Mo 0.750 0.750 0.750

## Properties
- ΔE_f (kJ/mol of formula units) = 36
- total moment (μB/f.u.) = 0.0
- crystal system = cubic
- raw total energy (eV per atom) = -4.996
- density of states at the Fermi level (states/eV/atom) = 0.482


No. 2
The following is a PBE calculation of a relaxed structure of BeGe2Mo, from Alexandria.

abc: 5.473 5.473 5.473
angles: 102.50 102.50 124.54
Element x y z (fractional)
1 Be 0.000 0.000 0.000
2 Be 0.750 0.250 0.500
3 Ge 0.085 0.125 0.460
4 Ge 0.375 0.915 0.040
5 Ge 0.665 0.625 0.540
6 Ge 0.875 0.335 0.960
7 Mo 0.250 0.750 0.500
8 Mo 0.500 0.500 0.000

## Properties
- ΔE_f (kJ/mol of formula units) = 197
- total moment (μB/f.u.) = 0.0
- crystal system = tetragonal
- raw total energy (eV per atom) = -5.438
- density of states at the Fermi level (states/eV/atom) = 0.317


No. 3
The following is a PBE calculation of a relaxed structure of Be3GeMo, from Alexandria.

abc: 4.346 4.346 4.346
angles: 90.00 90.00 90.00
Element x y z (fractional)
1 Be 0.000 0.000 0.500
2 Be 0.000 0.500 0.000
3 Be 0.500 0.000 0.000
4 Ge 0.500 0.500 0.500
5 Mo 0.000 0.000 0.000

## Properties
- ΔE_f (kJ/mol of formula units) = 634
- offset from the most stable computed form (meV/atom) = 104
- total moment (μB/f.u.) = 0.0
- crystal system = cubic
- raw total energy (eV per atom) = -4.012
- density of states at the Fermi level (states/eV/atom) = 0.519


No. 4
The following is a PBE calculation of a relaxed structure of BeGeMo3, from Alexandria.

abc: 4.229 4.229 4.229
angles: 90.00 90.00 90.00
Element x y z (fractional)
1 Be 0.000 0.000 0.000
2 Ge 0.500 0.500 0.500
3 Mo 0.000 0.000 0.500
4 Mo 0.000 0.500 0.000
5 Mo 0.500 0.000 0.000

## Properties
- ΔE_f (kJ/mol of formula units) = 332
- offset from the most stable computed form (meV/atom) = 0
- total moment (μB/f.u.) = 0.0
- crystal system = cubic
- raw total energy (eV per atom) = -7.480
- density of states at the Fermi level (states/eV/atom) = 0.620


No. 5
The following is a PBE calculation of a relaxed structure of Be2GeMo2, from Alexandria.

abc: 6.008 6.008 3.353
angles: 90.00 90.00 90.00
Element x y z (fractional)
1 Be 0.118 0.382 0.000
2 Be 0.382 0.882 0.000
3 Be 0.618 0.118 0.000
4 Be 0.882 0.618 0.000
5 Ge 0.000 0.000 0.000
6 Ge 0.500 0.500 0.000
7 Mo 0.177 0.677 0.500
8 Mo 0.323 0.177 0.500
9 Mo 0.677 0.823 0.500
10 Mo 0.823 0.323 0.500

## Properties
- ΔE_f (kJ/mol of formula units) = -53
- total moment (μB/f.u.) = 0.0
- crystal system = tetragonal
- raw total energy (eV per atom) = -6.856
- density of states at the Fermi level (states/eV/atom) = 1.131


No. 6
The following is a PBE calculation of a relaxed structure of BeGe3Mo, from Alexandria.

abc: 4.456 4.456 4.456
angles: 90.00 90.00 90.00
Element x y z (fractional)
1 Be 0.000 0.000 0.000
2 Ge 0.000 0.000 0.500
3 Ge 0.000 0.500 0.000
4 Ge 0.500 0.000 0.000
5 Mo 0.500 0.500 0.500

## Properties
- ΔE_f (kJ/mol of formula units) = 435
- offset from the most stable computed form (meV/atom) = 99
- total moment (μB/f.u.) = 3.1
- crystal system = cubic
- raw total energy (eV per atom) = -4.781
- density of states at the Fermi level (states/eV/atom) = 0.659